A relaxed structure of Ce2Pr3UP6. Source: Alexandria, functional GGA-PBE.

Geometry as POSCAR:
```
Ce2Pr3UP6
1.0
3.5605 -6.1682 0.0000
3.5605 6.1682 0.0000
-2.3749 0.0000 6.7421
Ce Pr U P
2 3 1 6
direct
0.1662 0.8338 0.0000 Ce
0.8338 0.1662 0.0000 Ce
0.0000 0.0000 0.5000 Pr
0.3311 0.6689 0.5000 Pr
0.6689 0.3311 0.5000 Pr
0.5000 0.5000 0.0000 U
0.0972 0.4217 0.7647 P
0.2547 0.2547 0.2359 P
0.4217 0.0972 0.7647 P
0.5783 0.9028 0.2353 P
0.7453 0.7453 0.7641 P
0.9028 0.5783 0.2353 P
```

Results
ΔH_f (0 K) = -1.42 eV/atom
Total moment = 0.26 μB per atom